No. 1
Below is a relaxed structure of NbAl2Rh, with properties calculated at the PBE level.

Cell and atoms, written as POSCAR:
```
NbAl2Rh
1.0
3.791 0.000 0.000
0.000 4.039 0.000
0.000 0.000 4.039
Nb Rh Al
1 1 2
Direct
0.500 0.500 0.500
0.500 0.000 0.000
0.000 0.000 0.500
0.000 0.500 0.000
```

Summary:
Space group: P4/mmm
Formation energy from the elements, eV/f.u.: -2.11
Density of states at the Fermi level, states/eV/atom: 0.592



No. 2
Below is a relaxed structure of Ta2CIBr, with properties calculated at the PBE level.

Cell and atoms, written as POSCAR:
```
Ta2CIBr
1.0
5.213 0.000 0.000
0.000 4.138 0.000
0.000 0.000 5.213
I C Br Ta
1 1 1 2
Direct
0.000 0.000 0.000
0.000 0.500 0.000
0.500 0.500 0.500
0.000 0.000 0.500
0.500 0.000 0.000
```

Summary:
Space group: P4/mmm
Density of states at the Fermi level, states/eV/atom: 1.100
Formation energy without anion corrections, meV per atom: 2631
Excess energy over the best structure of this formula in the dataset, kJ/mol of atoms: 0.0



No. 3
Below is a relaxed structure of Na3SnBr6, with properties calculated at the PBE level.

Cell and atoms, written as POSCAR:
```
Na3SnBr6
1.0
6.582 0.000 3.493
2.364 6.142 3.493
0.005 0.003 7.938
Na Sn Br
3 1 6
Direct
0.352 0.352 0.944
0.645 0.645 0.065
0.154 0.154 0.539
0.841 0.841 0.477
0.950 0.581 0.250
0.219 0.950 0.250
0.581 0.219 0.250
0.051 0.457 0.742
0.751 0.051 0.742
0.457 0.751 0.742
```

Summary:
Space group: R3
Density of states at the Fermi level, states/eV/atom: 0.630
Formation energy without anion corrections, meV per atom: -1168
Excess energy over the best structure of this formula in the dataset, kJ/mol of atoms: 0.0



No. 4
Below is a relaxed structure of KIBr3, with properties calculated at the PBE level.

Cell and atoms, written as POSCAR:
```
KIBr3
1.0
5.035 0.349 -0.172
0.665 10.248 0.363
-0.083 2.946 7.971
K I Br
2 2 6
Direct
0.940 0.197 0.658
0.545 0.708 0.125
0.799 0.746 0.615
0.686 0.158 0.168
0.413 0.330 0.796
0.072 0.574 0.987
0.435 0.334 0.299
0.513 0.947 0.706
0.972 0.958 0.075
0.050 0.570 0.484
```

Summary:
Space group: P-1
Density of states at the Fermi level, states/eV/atom: 0.179
Formation energy without anion corrections, meV per atom: -641
Excess energy over the best structure of this formula in the dataset, kJ/mol of atoms: 0.0



No. 5
Below is a relaxed structure of Ba8P3Br4F, with properties calculated at the PBE level.

Cell and atoms, written as POSCAR:
```
Ba8P3Br4F
1.0
-7.421 4.218 3.452
-5.540 -4.842 -5.995
5.670 -4.638 5.577
Ba P Br F
8 3 4 1
Direct
0.240 0.715 0.975
0.240 0.715 0.480
0.260 0.279 0.520
0.735 0.715 0.975
0.265 0.285 0.025
0.740 0.721 0.480
0.760 0.285 0.520
0.760 0.285 0.025
0.500 0.500 0.000
0.500 0.500 0.500
0.000 0.500 0.500
0.500 0.000 0.000
0.500 0.000 0.500
0.000 0.000 0.000
0.000 0.000 0.500
0.000 0.500 0.000
```

Summary:
Space group: R-3m
Density of states at the Fermi level, states/eV/atom: 0.426
Formation energy without anion corrections, meV per atom: -1682



No. 6
Below is a relaxed structure of CsHg2Cl4, with properties calculated at the PBE level.

Cell and atoms, written as POSCAR:
```
CsHg2Cl4
1.0
9.669 0.474 2.477
-3.440 7.172 1.661
0.579 -1.280 6.819
Cs Hg Cl
2 4 8
Direct
0.548 0.848 0.579
0.932 0.893 0.957
0.746 0.311 0.007
0.300 0.384 0.254
0.254 0.879 0.246
0.844 0.450 0.622
0.276 0.056 0.513
0.205 0.689 0.999
0.845 0.255 0.302
0.587 0.511 0.227
0.286 0.207 0.983
0.897 0.766 0.469
0.581 0.966 0.063
0.199 0.535 0.529
```

Summary:
Space group: P1
Density of states at the Fermi level, states/eV/atom: 0.000
Formation energy without anion corrections, meV per atom: -979
Excess energy over the best structure of this formula in the dataset, kJ/mol of atoms: 0.0